# Pm3CrAg3O8

A relaxed Pm3CrAg3O8 crystal (GGA+U, Alexandria).

Lattice parameters (Å, degrees): 7.0860 6.9909 9.6948 131.12 90.00 120.45
With the nearest neighbours (Å) after each atom.
Sites, in units of the cell vectors:
Pm (0.5000, 0.0000, 0.5000)  6 O 2.29-2.38
Pm (0.5000, 0.5000, 0.5000)  6 O 2.30-2.40
Pm (0.0000, 0.5000, 0.5000)  6 O 2.30-2.40
Cr (0.0000, 0.0000, 0.5000)  6 O 1.91-2.10
Ag (0.0000, 0.0000, 0.0000)  2 O 2.08
Ag (0.0000, 0.5000, 0.0000)  2 O 2.09
Ag (0.5000, 0.5000, 0.0000)  2 O 2.09
O (0.2265, 0.4529, 0.3278)  1 Ag 2.08, 3 Pm 2.29-2.30
O (0.7735, 0.5471, 0.6722)  1 Ag 2.08, 3 Pm 2.29-2.30
O (0.7721, 0.5443, 0.3555)  1 Cr 1.91
O (0.2279, 0.4557, 0.6445)  1 Cr 1.91
O (0.7433, 0.9368, 0.3308)  1 Ag 2.09, 1 Cr 2.10
O (0.2567, 0.0632, 0.6692)  1 Ag 2.09, 1 Cr 2.10
O (0.1936, 0.9368, 0.3308)  1 Ag 2.09, 1 Cr 2.10
O (0.8064, 0.0632, 0.6692)  1 Ag 2.09, 1 Cr 2.10

Summary:
Mass density: 5.8 g/cm3
Calculated total energy: -98.85 eV/f.u.
Space-group type: C2/m